[1]
Mn3AgBr PBE relaxed; uncorrected formation energy = 0.938 eV/atom; energy relative to the lowest polymorph listed for this composition = 0 kJ/mol of formula units; space-group type = No. 221
1.0
-2.047 2.460 -3.926
-4.084 -2.985 0.259
-2.188 3.270 3.190
Mn Br Ag
3 1 1
direct
0.500 0.000 0.000 Mn
0.000 0.500 0.000 Mn
0.000 0.000 0.500 Mn
0.500 0.500 0.500 Br
0.000 0.000 0.000 Ag

=====

[2]
MnAgBr PBE relaxed; uncorrected formation energy = 0.397 eV/atom; energy relative to the lowest polymorph listed for this composition = 97 kJ/mol of formula units; space-group type = No. 187
1.0
4.594 0.000 0.000
-2.297 3.979 0.000
0.000 0.000 3.412
Mn Br Ag
1 1 1
direct
0.333 0.667 0.501 Mn
0.667 0.333 0.499 Br
0.000 0.000 0.000 Ag

=====

[3]
Na2MnAgBr5 PBE relaxed; uncorrected formation energy = -0.983 eV/atom; space-group type = No. 36
1.0
4.130 0.000 0.000
-2.065 10.668 0.000
0.000 0.000 12.542
Ag Mn Na Br
2 2 4 10
direct
0.792 0.585 0.526 Ag
0.208 0.415 0.026 Ag
0.557 0.115 0.930 Mn
0.443 0.885 0.430 Mn
0.125 0.250 0.327 Na
0.828 0.656 0.170 Na
0.875 0.750 0.827 Na
0.172 0.344 0.670 Na
0.667 0.335 0.854 Br
0.955 0.909 0.545 Br
0.692 0.385 0.177 Br
0.477 0.955 0.792 Br
0.664 0.328 0.503 Br
0.523 0.045 0.292 Br
0.336 0.672 0.003 Br
0.308 0.615 0.677 Br
0.045 0.091 0.045 Br
0.333 0.665 0.354 Br

=====

[4]
Na2MnAgBr6 PBE relaxed; uncorrected formation energy = -0.932 eV/atom; space-group type = No. 1
1.0
-2.353 -7.003 -0.032
3.005 -5.117 -4.219
4.488 -5.574 3.019
Br Na Mn Ag
6 2 1 1
direct
0.989 0.556 0.240 Br
0.669 0.100 0.798 Br
0.586 0.187 0.274 Br
0.212 0.986 0.246 Br
0.096 0.458 0.746 Br
0.430 0.673 0.782 Br
0.537 0.517 0.419 Na
0.011 0.033 0.949 Na
0.323 0.327 0.019 Mn
0.809 0.825 0.543 Ag

=====

[5]
NaMnAg2Br8 PBE relaxed; uncorrected formation energy = -0.378 eV/atom; space-group type = No. 119
1.0
-0.694 -6.577 -4.263
4.001 -1.758 6.543
-7.115 2.815 1.836
Br Mn Na Ag
8 1 1 2
direct
0.718 0.036 0.682 Br
0.298 0.515 0.216 Br
0.298 0.082 0.784 Br
0.964 0.282 0.318 Br
0.353 0.036 0.318 Br
0.964 0.647 0.682 Br
0.485 0.702 0.784 Br
0.918 0.702 0.216 Br
0.250 0.750 0.500 Mn
0.000 0.000 0.000 Na
0.500 0.500 0.000 Ag
0.750 0.250 0.500 Ag

=====

[6]
Na2MnAg2Br6 PBE relaxed; uncorrected formation energy = -0.876 eV/atom; space-group type = No. 12
1.0
-5.741 2.356 -3.713
1.798 -6.995 -0.366
-2.743 0.090 6.429
Ag Br Na Mn
2 6 2 1
direct
0.829 0.171 0.000 Ag
0.171 0.829 0.000 Ag
0.379 0.062 0.748 Br
0.938 0.621 0.252 Br
0.230 0.230 0.278 Br
0.770 0.770 0.722 Br
0.062 0.379 0.748 Br
0.621 0.938 0.252 Br
0.667 0.333 0.500 Na
0.333 0.667 0.500 Na
0.000 0.000 0.500 Mn

=====

| no. | E_tot (eV/cell) |
| --- | --- |
| 1 | -27.34 |
| 2 | -12.50 |
| 3 | -63.74 |
| 4 | -34.01 |
| 5 | -34.11 |
| 6 | -37.18 |